DFT (PBE) results for an optimized crystal structure of TbHoNi4.

Unit cell a=5.0474 b=5.0474 c=5.0474 alpha=60.00 beta=60.00 gamma=60.00
Closest atoms and distances in Å follow each position.
Sites, in units of the cell vectors:
Tb1 0.0000 0.0000 0.0000  12 Ni 2.96, 4 Ho 3.09
Ho1 0.2500 0.2500 0.2500  12 Ni 2.96, 4 Tb 3.09
Ni1 0.1246 0.6251 0.6251  6 Ni 2.52-2.53
Ni2 0.6251 0.1246 0.6251  6 Ni 2.52-2.53
Ni3 0.6251 0.6251 0.1246  6 Ni 2.52-2.53
Ni4 0.6251 0.6251 0.6251  6 Ni 2.52-2.53

Output
**Size of the total moment**: 0.000 μB per formula unit
**Offset from the most stable computed form**: 0 meV per atom

=====

DFT (PBE) results for an optimized crystal structure of TbHoTlNi2.

Unit cell a=3.6698 b=7.4621 c=7.4621 alpha=30.10 beta=90.00 gamma=90.00
Closest atoms and distances in Å follow each position.
Sites, in units of the cell vectors:
Tb1 0.0000 0.0000 0.0000  6 Ni 2.81-2.95
Ho1 0.0000 0.7208 0.7208  6 Ni 2.81-2.94
Tl1 0.5000 0.3601 0.3601  2 Ni 2.88-2.90
Ni1 0.5000 0.1603 0.1603  2 Ni 2.40
Ni2 0.5000 0.5616 0.5616  2 Ni 2.40

Output
**Electronic total energy**: -5.019 eV/atom
**Size of the total moment**: 0.004 μB per formula unit

=====

DFT (PBE) results for an optimized crystal structure of TbHoTl4Ni2.

Unit cell a=7.5035 b=5.7752 c=5.7752 alpha=44.38 beta=90.00 gamma=90.00
Closest atoms and distances in Å follow each position.
Sites, in units of the cell vectors:
Tb1 0.0000 0.0000 0.0000  3 Ni 3.01-3.20, 4 Tl 3.21
Ho1 0.5000 0.8597 0.8597  3 Ni 3.00-3.20, 4 Tl 3.20
Tl1 0.2043 0.2891 0.2891  3 Ni 2.73-2.77
Tl2 0.2967 0.5712 0.5712  3 Ni 2.73-2.76, 1 Tl 3.05
Tl3 0.7033 0.5712 0.5712  3 Ni 2.73-2.76, 1 Tl 3.05
Tl4 0.7957 0.2891 0.2891  3 Ni 2.73-2.77
Ni1 0.0000 0.7188 0.7188  6 Tl 2.73-2.77, 1 Tb 3.01
Ni2 0.5000 0.1406 0.1406  6 Tl 2.73-2.76, 1 Ho 3.00

Output
**Electronic total energy**: -3.901 eV/atom
**Size of the total moment**: 0.007 μB per formula unit

=====

DFT (PBE) results for an optimized crystal structure of HoTcNi.

Unit cell a=4.4294 b=4.4294 c=4.4294 alpha=60.00 beta=60.00 gamma=60.00
Closest atoms and distances in Å follow each position.
Sites, in units of the cell vectors:
Ho1 0.0000 0.0000 0.0000  4 Ni 2.71, 4 Tc 2.71
Tc1 0.2500 0.2500 0.2500  4 Ho 2.71
Ni1 0.7500 0.7500 0.7500  4 Ho 2.71

Output
**Size of the total moment**: 2.258 μB per formula unit
**Offset from the most stable computed form**: 697 meV per atom

=====

DFT (PBE) results for an optimized crystal structure of HoTcNi.

Unit cell a=4.3342 b=4.3342 c=4.3342 alpha=60.00 beta=60.00 gamma=60.00
Closest atoms and distances in Å follow each position.
Sites, in units of the cell vectors:
Ho1 0.0000 0.0000 0.0000  4 Ni 2.65
Tc1 0.5000 0.5000 0.5000  4 Ni 2.65
Ni1 0.2500 0.2500 0.2500  4 Tc 2.65, 4 Ho 2.65

Output
**Size of the total moment**: 2.126 μB per formula unit
**Offset from the most stable computed form**: 0 meV per atom

=====

DFT (PBE) results for an optimized crystal structure of Ho2NiTe6.

Unit cell a=8.3385 b=8.3385 c=3.9070 alpha=90.00 beta=90.00 gamma=120.00
Closest atoms and distances in Å follow each position.
Sites, in units of the cell vectors:
Ho1 0.3333 0.6667 0.0000  9 Te 3.12-3.35
Ho2 0.6667 0.3333 0.0000  9 Te 3.12-3.35
Ni1 0.0000 0.0000 0.5000  6 Te 2.68
Te1 0.0000 0.2207 0.0000  2 Ni 2.68
Te2 0.0000 0.5470 0.5000  4 Ho 3.12, 2 Te 3.35
Te3 0.2207 0.0000 0.0000  2 Ni 2.68
Te4 0.4530 0.4530 0.5000  4 Ho 3.12, 2 Te 3.35
Te5 0.5470 0.0000 0.5000  4 Ho 3.12, 2 Te 3.35
Te6 0.7793 0.7793 0.0000  2 Ni 2.68

Output
**Electronic total energy**: -4.440 eV/atom
**Size of the total moment**: 0.001 μB per formula unit